(1)
Compound: CuBiS2
Source: Alexandria via LeMat-Bulk
Functional: PBE-GGA
Structure: optimized geometry

Results
E_form (uncorrected) = -0.237 eV/atom

```
CuBiS2
1.0
3.881 -0.022 0.133
-0.017 4.020 0.642
-1.729 -0.874 5.610
Bi Cu S
1 1 2
direct
0.157 0.069 0.267
0.495 0.570 0.736
0.577 0.068 0.922
0.906 0.568 0.488
```


(2)
Compound: Pm3Zn2Ir7
Source: Alexandria via LeMat-Bulk
Functional: PBE-GGA
Structure: optimized geometry

Results
energy relative to the elements = -14.18 kcal/mol of atoms

```
Pm3Zn2Ir7
1.0
5.214 0.000 1.632
2.352 4.654 1.632
0.050 0.031 8.986
Pm Ir Zn
3 7 2
direct
0.141 0.141 0.578
0.859 0.859 0.422
0.000 0.000 0.000
0.923 0.414 0.248
0.586 0.586 0.752
0.414 0.414 0.248
0.500 0.500 0.500
0.414 0.923 0.248
0.077 0.586 0.752
0.586 0.077 0.752
0.665 0.665 0.005
0.335 0.335 0.995
```


(3)
Compound: Sr3TaCl
Source: Alexandria via LeMat-Bulk
Functional: PBE-GGA
Structure: optimized geometry

Results
E_form (uncorrected) = 0.228 eV/atom

```
Sr3TaCl
1.0
5.692 0.000 0.000
0.000 5.692 0.000
0.000 0.000 5.692
Sr Cl Ta
3 1 1
direct
0.000 0.500 0.000
0.000 0.000 0.500
0.500 0.000 0.000
0.000 0.000 0.000
0.500 0.500 0.500
```


(4)
Compound: K2Na4Pb
Source: Alexandria via LeMat-Bulk
Functional: PBE-GGA
Structure: optimized geometry

Results
energy relative to the elements = 0.24 kcal/mol of atoms

```
K2Na4Pb
1.0
6.024 0.000 0.000
0.000 6.024 0.000
-3.012 -3.012 9.585
Na K Pb
4 2 1
direct
0.162 0.162 0.323
0.838 0.838 0.677
0.000 0.500 0.000
0.500 0.000 0.000
0.633 0.633 0.266
0.367 0.367 0.734
0.000 0.000 0.000
```


(5)
Compound: NaPuSi
Source: Alexandria via LeMat-Bulk
Functional: PBE-GGA
Structure: optimized geometry

Results
E_form (uncorrected) = 0.116 eV/atom

```
NaPuSi
1.0
-3.948 -3.406 1.551
-1.831 -3.978 -3.856
1.610 -5.057 2.534
Pu Na Si
2 2 2
direct
0.314 0.000 0.373
0.686 0.000 0.627
0.836 0.328 0.000
0.164 0.672 0.000
0.750 0.500 0.500
0.250 0.500 0.500
```


(6)
Compound: K2ScAu
Source: Alexandria via LeMat-Bulk
Functional: PBE-GGA
Structure: optimized geometry

Results
energy relative to the elements = 5.75 kcal/mol of atoms

```
K2ScAu
1.0
-8.473 -7.059 3.550
4.058 0.579 10.836
-3.770 -1.126 7.665
Sc K Au
2 4 2
direct
0.500 0.500 0.000
0.250 0.750 0.500
0.875 0.003 0.750
0.753 0.125 0.250
0.375 0.247 0.750
0.997 0.625 0.250
0.750 0.250 0.500
0.000 0.000 0.000
```


(7)
Compound: YZr4Cl
Source: Alexandria via LeMat-Bulk
Functional: PBE-GGA
Structure: optimized geometry

Results
E_form (uncorrected) = 0.381 eV/atom

```
YZr4Cl
1.0
0.000 4.270 4.270
4.270 0.000 4.270
4.270 4.270 0.000
Zr Cl Y
4 1 1
direct
0.370 0.370 0.890
0.370 0.370 0.370
0.890 0.370 0.370
0.370 0.890 0.370
0.750 0.750 0.750
0.000 0.000 0.000
```


(8)
Compound: ZnInSe2
Source: Alexandria via LeMat-Bulk
Functional: PBE-GGA
Structure: optimized geometry

Results
E_form (uncorrected) = 0.124 eV/atom

```
ZnInSe2
1.0
-4.302 4.463 1.084
-4.287 2.263 4.013
2.156 3.004 2.245
Se Zn In
2 1 1
direct
0.000 0.000 0.002
0.500 0.500 0.498
0.250 0.250 0.250
0.750 0.750 0.750
```


| no. | spin magnetization (μB per formula unit) |
| --- | --- |
| 1 | 0.00 |
| 2 | 0.00 |
| 3 | 3.87 |
| 4 | 0.00 |
| 5 | 6.03 |
| 6 | 0.33 |
| 7 | 0.00 |
| 8 | 0.00 |